(1)
Compound: MgZn2Cu
Source: Alexandria via LeMat-Bulk
Functional: meta-GGA SCAN
Structure: PBEsol geometry

Unit cell a=3.0623 b=3.0623 c=6.1782 alpha=90.00 beta=90.00 gamma=90.00
Element x y z (fractional)
Zn 0.0000 0.0000 0.0270
Zn 0.5000 0.5000 0.2660
Mg 0.5000 0.5000 0.7356
Cu 0.0000 0.0000 0.4713

## Properties
Symmetry = P4mm
N(E_F) = 1.071 states/eV per cell
DFT total energy = -47.570 eV per formula unit
ΔH_f (0 K) = -0.09 eV per atom
Spin magnetization = 0.000 μB per cell

(2)
Compound: Mg6ZnCu6
Source: Alexandria via LeMat-Bulk
Functional: meta-GGA SCAN
Structure: PBEsol geometry

Unit cell a=5.0853 b=5.0853 c=8.9819 alpha=90.00 beta=90.00 gamma=120.00
Element x y z (fractional)
Cu 0.0000 0.5000 0.7538
Cu 0.5000 0.0000 0.7538
Cu 0.5000 0.5000 0.7538
Cu 0.5000 0.0000 0.2462
Cu 0.0000 0.5000 0.2462
Cu 0.5000 0.5000 0.2462
Mg 0.0000 0.0000 0.6744
Mg 0.0000 0.0000 0.3256
Mg 0.3333 0.6667 0.0000
Mg 0.6667 0.3333 0.0000
Mg 0.3333 0.6667 0.5000
Mg 0.6667 0.3333 0.5000
Zn 0.0000 0.0000 0.0000

## Properties
Symmetry = P6/mmm
N(E_F) = 3.949 states/eV per cell
DFT total energy = -135.807 eV per formula unit
ΔH_f (0 K) = -0.10 eV per atom
Spin magnetization = 0.000 μB per cell

(3)
Compound: Mg2Zn2Cu
Source: Alexandria via LeMat-Bulk
Functional: meta-GGA SCAN
Structure: PBEsol geometry

Unit cell a=5.2500 b=5.2500 c=6.9923 alpha=74.07 beta=74.07 gamma=61.27
Element x y z (fractional)
Cu 0.2240 0.7760 0.7500
Cu 0.7760 0.2240 0.2500
Mg 0.4529 0.2213 0.6386
Mg 0.7787 0.5471 0.8614
Mg 0.5471 0.7787 0.3614
Mg 0.2213 0.4529 0.1386
Zn 0.2494 0.9804 0.0229
Zn 0.0196 0.7506 0.4771
Zn 0.7506 0.0196 0.9771
Zn 0.9804 0.2494 0.5229

## Properties
Symmetry = C2/c
Energy relative to the lowest polymorph listed for this composition = 0.0 kJ per mole of atoms
N(E_F) = 2.780 states/eV per cell
DFT total energy = -52.978 eV per formula unit
ΔH_f (0 K) = -0.16 eV per atom
Spin magnetization = 0.000 μB per cell

(4)
Compound: Mg2ZnCu2
Source: Alexandria via LeMat-Bulk
Functional: meta-GGA SCAN
Structure: PBEsol geometry

Unit cell a=3.7182 b=6.4727 c=6.4727 alpha=90.00 beta=90.00 gamma=90.00
Element x y z (fractional)
Cu 0.0000 0.3666 0.8666
Cu 0.0000 0.6334 0.1334
Cu 0.0000 0.1334 0.3666
Cu 0.0000 0.8666 0.6334
Mg 0.5000 0.1671 0.6671
Mg 0.5000 0.8329 0.3329
Mg 0.5000 0.3329 0.1671
Mg 0.5000 0.6671 0.8329
Zn 0.0000 0.0000 0.0000
Zn 0.0000 0.5000 0.5000

## Properties
Symmetry = P4/mbm
N(E_F) = 2.892 states/eV per cell
DFT total energy = -54.401 eV per formula unit
ΔH_f (0 K) = -0.11 eV per atom
Spin magnetization = 0.000 μB per cell

(5)
Compound: MgZn2Cu
Source: Alexandria via LeMat-Bulk
Functional: meta-GGA SCAN
Structure: PBEsol geometry

Unit cell a=4.1673 b=4.1673 c=8.0628 alpha=90.00 beta=90.00 gamma=120.00
Element x y z (fractional)
Cu 0.0000 0.0000 0.0000
Cu 0.0000 0.0000 0.5000
Mg 0.6667 0.3333 0.7500
Mg 0.3333 0.6667 0.2500
Zn 0.6667 0.3333 0.4156
Zn 0.3333 0.6667 0.9156
Zn 0.3333 0.6667 0.5844
Zn 0.6667 0.3333 0.0844

## Properties
Symmetry = P6_3/mmc
N(E_F) = 1.987 states/eV per cell
DFT total energy = -47.702 eV per formula unit
ΔH_f (0 K) = -0.12 eV per atom
Spin magnetization = 0.000 μB per cell

(6)
Compound: MgZn2Cu
Source: Alexandria via LeMat-Bulk
Functional: meta-GGA SCAN
Structure: PBEsol geometry

Unit cell a=3.0733 b=3.0733 c=6.1454 alpha=90.00 beta=90.00 gamma=90.00
Element x y z (fractional)
Zn 0.0000 0.0000 0.7863
Zn 0.0000 0.0000 0.2137
Mg 0.5000 0.5000 0.5000
Cu 0.5000 0.5000 0.0000

## Properties
Symmetry = P4/mmm
N(E_F) = 0.966 states/eV per cell
DFT total energy = -47.627 eV per formula unit
ΔH_f (0 K) = -0.11 eV per atom
Spin magnetization = 0.000 μB per cell

(7)
Compound: Mg2Zn2Cu
Source: Alexandria via LeMat-Bulk
Functional: meta-GGA SCAN
Structure: PBEsol geometry

Unit cell a=4.3770 b=5.3961 c=7.0993 alpha=90.00 beta=107.96 gamma=90.00
Element x y z (fractional)
Cu 0.1407 0.3460 0.2815
Cu 0.8593 0.8460 0.7185
Mg 0.0692 0.8937 0.1383
Mg 0.9308 0.3937 0.8617
Mg 0.3273 0.1163 0.6547
Mg 0.6727 0.6163 0.3453
Zn 0.2866 0.6227 0.5731
Zn 0.7134 0.1227 0.4269
Zn 0.5359 0.2257 0.0719
Zn 0.4641 0.7257 0.9281

## Properties
Symmetry = Cmc2_1
Energy relative to the lowest polymorph listed for this composition = 2.5 kJ per mole of atoms
N(E_F) = 2.931 states/eV per cell
DFT total energy = -52.851 eV per formula unit
ΔH_f (0 K) = -0.13 eV per atom
Spin magnetization = 0.000 μB per cell

(8)
Compound: Mg2ZnCu3
Source: Alexandria via LeMat-Bulk
Functional: meta-GGA SCAN
Structure: PBEsol geometry

Unit cell a=4.9058 b=4.9058 c=4.9058 alpha=60.79 beta=60.79 gamma=60.79
Element x y z (fractional)
Cu 0.0000 0.5000 0.5000
Cu 0.5000 0.5000 0.0000
Cu 0.5000 0.0000 0.5000
Mg 0.8761 0.8761 0.8761
Mg 0.1239 0.1239 0.1239
Zn 0.5000 0.5000 0.5000

## Properties
Symmetry = R-3m
Energy relative to the lowest polymorph listed for this composition = 0.3 kJ per mole of atoms
N(E_F) = 2.765 states/eV per cell
DFT total energy = -70.422 eV per formula unit
ΔH_f (0 K) = -0.23 eV per atom
Spin magnetization = 0.000 μB per cell

(9)
Compound: Mg2Zn3Cu2
Source: Alexandria via LeMat-Bulk
Functional: meta-GGA SCAN
Structure: PBEsol geometry

Unit cell a=4.1619 b=4.9306 c=11.4429 alpha=78.94 beta=79.52 gamma=65.04
Element x y z (fractional)
Cu 0.7749 0.1107 0.3395
Cu 0.2251 0.8893 0.6605
Cu 0.0921 0.5483 0.2675
Cu 0.9079 0.4517 0.7325
Mg 0.5386 0.3037 0.6190
Mg 0.4614 0.6963 0.3810
Mg 0.3877 0.0856 0.1390
Mg 0.6123 0.9144 0.8610
Zn 0.1142 0.7243 0.0472
Zn 0.8858 0.2757 0.9528
Zn 0.3171 0.5198 0.8460
Zn 0.6829 0.4802 0.1540
Zn 0.8476 0.7688 0.5360
Zn 0.1524 0.2312 0.4640

## Properties
Symmetry = C2/m
N(E_F) = 3.454 states/eV per cell
DFT total energy = -81.724 eV per formula unit
ΔH_f (0 K) = -0.12 eV per atom
Spin magnetization = 0.000 μB per cell

(10)
Compound: Mg3Zn7Cu2
Source: Alexandria via LeMat-Bulk
Functional: meta-GGA SCAN
Structure: PBEsol geometry

Unit cell a=5.0285 b=5.0285 c=8.8068 alpha=73.41 beta=73.41 gamma=60.00
Element x y z (fractional)
Cu 0.6668 0.6668 0.9996
Cu 0.3332 0.3332 0.0004
Mg 0.0000 0.0000 0.0000
Mg 0.8558 0.8558 0.4327
Mg 0.1442 0.1442 0.5673
Zn 0.5000 0.5000 0.5000
Zn 0.9203 0.4175 0.2448
Zn 0.4175 0.9203 0.2448
Zn 0.4175 0.4175 0.2448
Zn 0.0797 0.5825 0.7552
Zn 0.5825 0.5825 0.7552
Zn 0.5825 0.0797 0.7552

## Properties
Symmetry = R-3m
N(E_F) = 2.414 states/eV per cell
DFT total energy = -142.117 eV per formula unit
ΔH_f (0 K) = -0.18 eV per atom
Spin magnetization = 0.000 μB per cell

(11)
Compound: MgZnCu
Source: Alexandria via LeMat-Bulk
Functional: meta-GGA SCAN
Structure: PBEsol geometry

Unit cell a=4.2730 b=4.2730 c=5.5959 alpha=90.00 beta=90.00 gamma=120.00
Element x y z (fractional)
Cu 0.6667 0.3333 0.2500
Cu 0.3333 0.6667 0.7500
Mg 0.0000 0.0000 0.0000
Mg 0.0000 0.0000 0.5000
Zn 0.3333 0.6667 0.2500
Zn 0.6667 0.3333 0.7500

## Properties
Symmetry = P6_3/mmc
N(E_F) = 2.006 states/eV per cell
DFT total energy = -34.103 eV per formula unit
ΔH_f (0 K) = -0.14 eV per atom
Spin magnetization = 0.000 μB per cell

(12)
Compound: MgZn2Cu
Source: Alexandria via LeMat-Bulk
Functional: meta-GGA SCAN
Structure: PBEsol geometry

Unit cell a=3.8559 b=3.8559 c=4.7047 alpha=114.19 beta=114.19 gamma=90.00
Element x y z (fractional)
Zn 0.7500 0.2500 0.5000
Zn 0.2500 0.7500 0.5000
Mg 0.0000 0.0000 0.0000
Cu 0.5000 0.5000 0.0000

## Properties
Symmetry = I4/mmm
N(E_F) = 0.977 states/eV per cell
DFT total energy = -47.575 eV per formula unit
ΔH_f (0 K) = -0.09 eV per atom
Spin magnetization = 0.000 μB per cell

(13)
Compound: MgZn4Cu
Source: Alexandria via LeMat-Bulk
Functional: meta-GGA SCAN
Structure: PBEsol geometry

Unit cell a=2.8970 b=7.1464 c=8.3807 alpha=90.00 beta=90.00 gamma=90.00
Element x y z (fractional)
Cu 0.0000 0.8175 0.2500
Cu 0.0000 0.1825 0.7500
Mg 0.0000 0.4488 0.2500
Mg 0.0000 0.5512 0.7500
Zn 0.5000 0.3173 0.9730
Zn 0.5000 0.3173 0.5270
Zn 0.5000 0.6827 0.0270
Zn 0.5000 0.6827 0.4730
Zn 0.5000 0.1134 0.2500
Zn 0.5000 0.8866 0.7500
Zn 0.0000 0.0000 0.0000
Zn 0.0000 0.0000 0.5000

## Properties
Symmetry = Pmma
Energy relative to the lowest polymorph listed for this composition = 0.0 kJ per mole of atoms
N(E_F) = 3.301 states/eV per cell
DFT total energy = -74.778 eV per formula unit
ΔH_f (0 K) = -0.09 eV per atom
Spin magnetization = 0.000 μB per cell